La2Zn7Ag: relaxed, PBE.

Unit cell a=4.3846 b=4.3846 c=10.5474 alpha=90.00 beta=90.00 gamma=90.00
Fractional coordinates of all 10 atoms:
1 La 0.0000 0.5000 0.2420
2 La 0.5000 0.0000 0.7580
3 Zn 0.0000 0.0000 0.0000
4 Zn 0.0000 0.5000 0.6391
5 Zn 0.0000 0.5000 0.8740
6 Zn 0.5000 0.0000 0.1260
7 Zn 0.5000 0.0000 0.3609
8 Zn 0.5000 0.5000 0.0000
9 Zn 0.5000 0.5000 0.5000
10 Ag 0.0000 0.0000 0.5000



BeTe2Pt: relaxed, PBE.

uncorrected formation energy: -0.131 eV/f.u.

Unit cell a=3.3375 b=3.3375 c=8.0413 alpha=90.00 beta=90.00 gamma=90.00
Fractional coordinates of all 4 atoms:
1 Be 0.0000 0.0000 0.0000
2 Te 0.0000 0.0000 0.3181
3 Te 0.5000 0.5000 0.7568
4 Pt 0.5000 0.5000 0.0803



For each record above, in turn, the calculated raw total energy values are -2.46 -4.05 eV per atom.